# KErCuO2, optimized geometry, DFT GGA-PBE
data_KErCuO2
_chemical_formula_sum 'K2 Er2 Cu2 O4'
_cell_length_a 7.594
_cell_length_b 5.618
_cell_length_c 6.621
_cell_angle_alpha 90.00
_cell_angle_beta 115.57
_cell_angle_gamma 90.00
_symmetry_space_group_name_H-M 'P 1 2/c 1'
_symmetry_Int_Tables_number 13
loop_
_symmetry_equiv_pos_as_xyz
'x,y,z'
'-x,-y,-z'
'-x,y,-z+1/2'
'x,-y,z+1/2'
loop_
_atom_site_label
_atom_site_fract_x
_atom_site_fract_y
_atom_site_fract_z
K1 0.000 0.204 0.250
Er1 0.500 0.500 0.250
Cu1 0.500 0.000 0.000
O1 0.377 0.295 0.439
# Density of states at the Fermi level (states/eV/cell): 2.646
# Total energy (Ry/atom): -0.4168
# E_form (uncorrected) (eV per atom): -1.736
# V (Å³/cell): 255
# Crystal system: monoclinic
# Total moment (μB per formula unit): 0.00